Record 1
# BaMoRu, optimized geometry, DFT PBE
# Energy of formation   125 kJ per mole of atoms
data_BaMoRu
_symmetry_space_group_name_H-M 'P 1'
_symmetry_Int_Tables_number 1
_symmetry_space_group_name_Hall 'P 1'
_cell_length_a 4.6240
_cell_length_b 4.6240
_cell_length_c 4.6240
_cell_angle_alpha 60.00
_cell_angle_beta 60.00
_cell_angle_gamma 60.00
loop_
_atom_site_label
_atom_site_fract_x
_atom_site_fract_y
_atom_site_fract_z
_atom_site_occupancy
Ba1 0.5000 0.5000 0.5000 1
Mo1 0.7500 0.7500 0.7500 1
Ru1 0.0000 0.0000 0.0000 1

=====

Record 2
# BaMoRu2, optimized geometry, DFT PBE
# Energy of formation   112 kJ per mole of atoms
data_BaMoRu2
_symmetry_space_group_name_H-M 'P 1'
_symmetry_Int_Tables_number 1
_symmetry_space_group_name_Hall 'P 1'
_cell_length_a 4.7160
_cell_length_b 4.7160
_cell_length_c 4.7160
_cell_angle_alpha 60.00
_cell_angle_beta 60.00
_cell_angle_gamma 60.00
loop_
_atom_site_label
_atom_site_fract_x
_atom_site_fract_y
_atom_site_fract_z
_atom_site_occupancy
Ba1 0.5000 0.5000 0.5000 1
Mo1 0.7500 0.7500 0.7500 1
Ru1 0.0000 0.0000 0.0000 1
Ru2 0.2500 0.2500 0.2500 1

=====

Record 3
# BaMoRu2, optimized geometry, DFT PBE
# Energy of formation   49 kJ per mole of atoms
data_BaMoRu2
_symmetry_space_group_name_H-M 'P 1'
_symmetry_Int_Tables_number 1
_symmetry_space_group_name_Hall 'P 1'
_cell_length_a 4.3658
_cell_length_b 4.3658
_cell_length_c 6.5393
_cell_angle_alpha 70.53
_cell_angle_beta 70.53
_cell_angle_gamma 60.00
loop_
_atom_site_label
_atom_site_fract_x
_atom_site_fract_y
_atom_site_fract_z
_atom_site_occupancy
Ba1 0.4982 0.4982 0.5052 1
Mo1 0.3067 0.3067 0.0801 1
Ru1 0.0066 0.0066 0.9803 1
Ru2 0.6885 0.6885 0.9345 1

=====

Record 4
# BaMoRu2, optimized geometry, DFT PBE
# Energy of formation   44 kJ per mole of atoms
data_BaMoRu2
_symmetry_space_group_name_H-M 'P 1'
_symmetry_Int_Tables_number 1
_symmetry_space_group_name_Hall 'P 1'
_cell_length_a 3.1818
_cell_length_b 3.1683
_cell_length_c 8.5515
_cell_angle_alpha 68.37
_cell_angle_beta 90.00
_cell_angle_gamma 90.00
loop_
_atom_site_label
_atom_site_fract_x
_atom_site_fract_y
_atom_site_fract_z
_atom_site_occupancy
Ba1 0.5000 0.2500 0.2500 1
Mo1 0.5000 0.7500 0.7500 1
Ru1 0.0000 0.0722 0.9274 1
Ru2 0.0000 0.4278 0.5726 1

=====

Record 5
# BaMoRu2, optimized geometry, DFT PBE
# Energy of formation   69 kJ per mole of atoms
data_BaMoRu2
_symmetry_space_group_name_H-M 'P 1'
_symmetry_Int_Tables_number 1
_symmetry_space_group_name_Hall 'P 1'
_cell_length_a 4.1708
_cell_length_b 3.3120
_cell_length_c 6.7258
_cell_angle_alpha 81.37
_cell_angle_beta 90.00
_cell_angle_gamma 90.00
loop_
_atom_site_label
_atom_site_fract_x
_atom_site_fract_y
_atom_site_fract_z
_atom_site_occupancy
Ba1 0.0000 0.5453 0.4672 1
Mo1 0.5000 0.6965 0.9131 1
Ru1 0.0000 0.1380 0.9362 1
Ru2 0.5000 0.1202 0.1835 1

=====

Record 6
# Ba3MoRu, optimized geometry, DFT PBE
# Energy of formation   96 kJ per mole of atoms
data_Ba3MoRu
_symmetry_space_group_name_H-M 'P 1'
_symmetry_Int_Tables_number 1
_symmetry_space_group_name_Hall 'P 1'
_cell_length_a 5.8794
_cell_length_b 5.8794
_cell_length_c 5.8794
_cell_angle_alpha 90.00
_cell_angle_beta 90.00
_cell_angle_gamma 90.00
loop_
_atom_site_label
_atom_site_fract_x
_atom_site_fract_y
_atom_site_fract_z
_atom_site_occupancy
Ru1 0.0000 0.0000 0.0000 1
Mo1 0.5000 0.5000 0.5000 1
Ba1 0.0000 0.5000 0.0000 1
Ba2 0.0000 0.0000 0.5000 1
Ba3 0.5000 0.0000 0.0000 1

=====

Record 7
# BaMo3Ru, optimized geometry, DFT PBE
# Energy of formation   131 kJ per mole of atoms
data_BaMo3Ru
_symmetry_space_group_name_H-M 'P 1'
_symmetry_Int_Tables_number 1
_symmetry_space_group_name_Hall 'P 1'
_cell_length_a 4.8965
_cell_length_b 4.8965
_cell_length_c 4.8965
_cell_angle_alpha 90.00
_cell_angle_beta 90.00
_cell_angle_gamma 90.00
loop_
_atom_site_label
_atom_site_fract_x
_atom_site_fract_y
_atom_site_fract_z
_atom_site_occupancy
Ru1 0.0000 0.0000 0.0000 1
Mo1 0.0000 0.5000 0.0000 1
Mo2 0.0000 0.0000 0.5000 1
Mo3 0.5000 0.0000 0.0000 1
Ba1 0.5000 0.5000 0.5000 1

=====

Record 8
# Ba2MoRu, optimized geometry, DFT PBE
# Energy of formation   126 kJ per mole of atoms
data_Ba2MoRu
_symmetry_space_group_name_H-M 'P 1'
_symmetry_Int_Tables_number 1
_symmetry_space_group_name_Hall 'P 1'
_cell_length_a 5.0130
_cell_length_b 5.0105
_cell_length_c 4.5574
_cell_angle_alpha 90.00
_cell_angle_beta 90.00
_cell_angle_gamma 90.00
loop_
_atom_site_label
_atom_site_fract_x
_atom_site_fract_y
_atom_site_fract_z
_atom_site_occupancy
Ba1 0.0000 0.0000 0.0000 1
Ba2 0.5000 0.5000 0.0000 1
Mo1 0.5000 0.0000 0.5000 1
Ru1 0.0000 0.5000 0.5000 1

=====

Magnetization (computed, Bohr magnetons per cell): 0.00, 1.01, 0.82, 0.00, 0.00, 4.10, 3.05, 4.24
Density of states at the Fermi level (computed, states/eV per cell): 2.28, 4.29, 3.62, 5.45, 3.40, 5.45, 6.46, 5.09